(1)
ScTiIn2W at its PBEsol-relaxed geometry. Source: the Alexandria database, functional meta-GGA SCAN.

Calculated values
Its space group is P4/mmm (123). As for the crystal system: tetragonal.

Cell: 5.1302 5.1302 4.4762 Å, 90.00 90.00 90.00°
With the nearest neighbours (Å) after each atom.
Fractional positions:
Sc 0.0000 0.0000 0.0000  2 W 2.24
Ti 0.5000 0.5000 0.5000  8 In 3.40, 4 W 3.63
In 0.0000 0.5000 0.0000  2 Sc 2.57
In 0.5000 0.0000 0.0000  2 Sc 2.57
W 0.0000 0.0000 0.5000  2 Sc 2.24


(2)
Sc2TlIn at its PBEsol-relaxed geometry. Source: the Alexandria database, functional meta-GGA SCAN.

Calculated values
Its space group is Pmmm (47). The value obtained for the excess energy over the best structure of this formula in the dataset is 0.0001 eV per atom. As for the crystal system: orthorhombic.

Cell: 3.2121 4.2515 6.3684 Å, 90.00 90.00 90.00°
With the nearest neighbours (Å) after each atom.
Fractional positions:
Sc 0.0000 0.0000 0.2491  4 In 3.10, 4 Tl 3.11, 4 Sc 3.17-3.21
Sc 0.0000 0.0000 0.7509  4 In 3.10, 4 Tl 3.11, 4 Sc 3.17-3.21
Tl 0.5000 0.5000 0.5000  8 Sc 3.11, 2 In 3.18, 2 Tl 3.21
In 0.5000 0.5000 0.0000  8 Sc 3.10, 2 Tl 3.18, 2 In 3.21


(3)
ScTlIn2 at its PBEsol-relaxed geometry. Source: the Alexandria database, functional meta-GGA SCAN.

Calculated values
Its space group is I4/mmm (139). As for the crystal system: tetragonal.

Cell: 5.7797 5.7797 5.7797 Å, 136.27 136.27 63.56°
With the nearest neighbours (Å) after each atom.
Fractional positions:
Sc 0.0000 0.0000 0.0000  4 Tl 3.04, 8 In 3.27
Tl 0.5000 0.5000 0.0000  4 Sc 3.04, 8 In 3.27
In 0.2500 0.7500 0.5000  4 In 3.04, 4 Tl 3.27, 4 Sc 3.27
In 0.7500 0.2500 0.5000  4 In 3.04, 4 Tl 3.27, 4 Sc 3.27


(4)
Sc2TlIn at its PBEsol-relaxed geometry. Source: the Alexandria database, functional meta-GGA SCAN.

Calculated values
Its space group is Cmmm (65). The value obtained for the excess energy over the best structure of this formula in the dataset is 0.0008 eV per atom. As for the crystal system: orthorhombic.

Cell: 5.3012 5.3012 3.2200 Å, 90.00 90.00 105.76°
With the nearest neighbours (Å) after each atom.
Fractional positions:
Sc 0.0000 0.5000 0.0000  4 Tl 3.10, 4 In 3.10, 4 Sc 3.20-3.22
Sc 0.5000 0.0000 0.0000  4 Tl 3.10, 4 In 3.10, 4 Sc 3.20-3.22
Tl 0.0000 0.0000 0.5000  8 Sc 3.10, 2 In 3.20, 2 Tl 3.22
In 0.5000 0.5000 0.5000  8 Sc 3.10, 2 Tl 3.20, 2 In 3.22


Number 1: energy of formation 1.50 eV/atom, VASP energy -159.2 eV/f.u.. Number 2: energy of formation -0.53 eV/atom, VASP energy -136.3 eV/f.u.. Number 3: energy of formation -0.31 eV/atom, VASP energy -154.6 eV/f.u.. Number 4: energy of formation -0.53 eV/atom, VASP energy -136.3 eV/f.u..